SmYTlGa | PBE | relaxed Values from VASP.

Values from the calculation:
The offset from the most stable computed form is 29.0 meV per atom. For the formation energy, the calculation gives -0.451 eV/atom. The symmetry is F-43m (216). The electronic total energy is -4.595 eV/atom.

```
&SYSTEM
  ibrav = 0, nat = 16, ntyp = 4
/
ATOMIC_SPECIES
Sm 150.36 Sm.upf
Y 88.91 Y.upf
Tl 204.38 Tl.upf
Ga 69.72 Ga.upf
CELL_PARAMETERS angstrom
7.466 0.000 0.000
0.000 7.466 0.000
0.000 0.000 7.466
ATOMIC_POSITIONS angstrom
Sm 0.000 0.000 0.000
Sm 0.000 3.733 3.733
Sm 3.733 0.000 3.733
Sm 3.733 3.733 0.000
Y 0.000 0.000 3.733
Y 0.000 3.733 0.000
Y 3.733 0.000 0.000
Y 3.733 3.733 3.733
Tl 1.867 1.867 1.867
Tl 1.867 5.600 5.600
Tl 5.600 1.867 5.600
Tl 5.600 5.600 1.867
Ga 1.867 1.867 5.600
Ga 1.867 5.600 1.867
Ga 5.600 1.867 1.867
Ga 5.600 5.600 5.600
```